Record 1
# Ba6GaAg5, optimized geometry, DFT PBE-GGA
data_Ba6GaAg5
_chemical_formula_sum 'Ba6 Ga1 Ag5'
_cell_length_a 5.824
_cell_length_b 10.094
_cell_length_c 10.094
_cell_angle_alpha 119.92
_cell_angle_beta 106.78
_cell_angle_gamma 106.78
_symmetry_space_group_name_H-M 'P 1'
_symmetry_Int_Tables_number 1
loop_
_symmetry_equiv_pos_as_xyz
'x,y,z'
loop_
_atom_site_label
_atom_site_fract_x
_atom_site_fract_y
_atom_site_fract_z
Ba1 0.746 0.246 0.246
Ba2 0.248 0.084 0.412
Ba3 0.248 0.412 0.084
Ba4 0.254 0.754 0.754
Ba5 0.752 0.916 0.588
Ba6 0.752 0.588 0.916
Ag1 0.500 0.500 0.500
Ag2 0.500 0.834 0.166
Ag3 0.500 0.166 0.834
Ag4 0.000 0.332 0.668
Ag5 0.000 0.668 0.332
Ga1 0.000 0.000 0.000
# **Space-group type**: Immm

---

Record 2
# Ba4GaAg2, optimized geometry, DFT PBE-GGA
data_Ba4GaAg2
_chemical_formula_sum 'Ba4 Ga1 Ag2'
_cell_length_a 5.841
_cell_length_b 5.841
_cell_length_c 10.030
_cell_angle_alpha 73.07
_cell_angle_beta 73.07
_cell_angle_gamma 60.00
_symmetry_space_group_name_H-M 'P 1'
_symmetry_Int_Tables_number 1
loop_
_symmetry_equiv_pos_as_xyz
'x,y,z'
loop_
_atom_site_label
_atom_site_fract_x
_atom_site_fract_y
_atom_site_fract_z
Ba1 0.122 0.122 0.634
Ba2 0.628 0.628 0.116
Ba3 0.372 0.372 0.884
Ba4 0.878 0.878 0.366
Ag1 0.751 0.751 0.746
Ag2 0.249 0.249 0.254
Ga1 0.000 0.000 0.000
# **Space-group type**: R-3m

---

Record 3
# BaGa2Ag4, optimized geometry, DFT PBE-GGA
data_BaGa2Ag4
_chemical_formula_sum 'Ba4 Ga8 Ag16'
_cell_length_a 4.527
_cell_length_b 7.685
_cell_length_c 18.147
_cell_angle_alpha 90.00
_cell_angle_beta 90.00
_cell_angle_gamma 90.00
_symmetry_space_group_name_H-M 'P 1'
_symmetry_Int_Tables_number 1
loop_
_symmetry_equiv_pos_as_xyz
'x,y,z'
loop_
_atom_site_label
_atom_site_fract_x
_atom_site_fract_y
_atom_site_fract_z
Ag1 0.250 0.498 0.399
Ag2 0.250 0.832 0.191
Ag3 0.250 0.201 0.200
Ag4 0.250 0.002 0.899
Ag5 0.250 0.668 0.691
Ag6 0.750 0.820 0.959
Ag7 0.250 0.320 0.541
Ag8 0.250 0.180 0.041
Ag9 0.250 0.299 0.700
Ag10 0.750 0.701 0.300
Ag11 0.750 0.332 0.309
Ag12 0.750 0.680 0.459
Ag13 0.750 0.502 0.601
Ag14 0.750 0.799 0.800
Ag15 0.750 0.168 0.809
Ag16 0.750 0.998 0.101
Ga1 0.750 0.482 0.745
Ga2 0.250 0.982 0.755
Ga3 0.250 0.690 0.539
Ga4 0.750 0.018 0.245
Ga5 0.750 0.190 0.961
Ga6 0.750 0.310 0.461
Ga7 0.250 0.810 0.039
Ga8 0.250 0.518 0.255
Ba1 0.750 0.997 0.610
Ba2 0.250 0.003 0.390
Ba3 0.750 0.503 0.110
Ba4 0.250 0.497 0.890
# **Energy relative to the lowest polymorph listed for this composition**: 0.0221 eV per atom
# **Space-group type**: Pnma

---

For the records above, the corresponding energy of formation from the pure elements values read -2.961; -1.573; -1.284 eV per formula unit.